[1]
VASP calculation (GGA-PBE) on SrTcAs2 after structural relaxation.

Structure (POSCAR):
```
SrTcAs2
1.0
-0.942 -3.828 -1.041
2.961 -2.654 -0.901
0.975 -3.888 5.435
Sr As Tc
1 2 1
Cartesian
1.493 -5.161 1.666
2.064 -6.738 -1.043
2.268 -7.904 3.065
0.686 -2.235 -0.391
```

Computed properties:
calculated formation energy	-0.415	eV/atom


[2]
VASP calculation (GGA-PBE) on CsCe2I6 after structural relaxation.

Structure (POSCAR):
```
CsCe2I6
1.0
8.153 0.000 0.000
-4.076 7.061 0.000
0.000 0.000 8.820
I Cs Ce
6 1 2
Cartesian
-2.575 4.460 2.502
5.150 0.000 2.502
-1.501 2.601 6.318
2.575 4.460 6.318
3.003 0.000 6.318
1.501 2.601 2.502
0.000 0.000 0.000
4.076 2.354 4.410
0.000 4.707 4.410
```

Computed properties:
formation energy (no corrections)	-1372	meV/atom


[3]
VASP calculation (GGA-PBE) on RuICl3 after structural relaxation.

Structure (POSCAR):
```
RuICl3
1.0
-4.546 -1.583 0.717
1.673 -4.530 0.604
0.471 0.810 4.775
Ru I Cl
1 1 3
Cartesian
0.000 0.000 0.000
-1.201 -2.651 3.048
-2.273 -0.792 0.358
0.836 -2.265 0.302
0.235 0.405 2.388
```

Computed properties:
formation energy (no corrections)	112	meV/atom


[4]
VASP calculation (GGA-PBE) on AgHg2F8 after structural relaxation.

Structure (POSCAR):
```
AgHg2F8
1.0
4.413 0.000 0.000
0.000 5.984 -3.457
0.000 -0.001 6.916
Hg F Ag
2 8 1
Cartesian
1.056 1.993 3.458
3.357 3.990 0.001
3.251 1.994 3.458
1.084 0.876 5.412
1.162 3.990 0.001
3.329 5.108 -1.953
1.084 4.245 3.453
3.329 1.738 0.006
3.329 5.118 1.948
1.084 0.865 1.511
0.000 -0.001 6.916
```

Computed properties:
formation energy (no corrections)	-1081	meV/atom


[5]
VASP calculation (GGA-PBE) on Ac7SbAs5 after structural relaxation.

Structure (POSCAR):
```
Ac7SbAs5
1.0
-0.267 -4.548 0.078
5.112 1.887 -5.609
20.003 -0.865 17.933
As Ac Sb
10 14 2
Cartesian
21.657 -1.093 10.286
11.256 -0.580 4.608
7.448 -2.618 5.919
0.004 0.000 -0.003
3.198 -2.434 2.108
17.405 -0.909 6.477
20.667 -3.252 14.125
13.596 -2.946 7.788
10.003 -0.433 8.964
4.188 -0.275 -1.730
10.536 -2.782 6.855
5.271 -0.290 1.127
15.226 -2.950 13.086
14.315 -0.744 5.541
6.056 -2.683 -2.661
9.627 -0.576 -0.692
8.302 -0.421 3.845
11.865 -2.934 2.548
1.929 -2.410 -0.864
18.800 -0.844 15.056
22.927 -1.117 13.259
19.584 -3.237 11.267
12.987 -0.592 9.848
16.551 -3.106 8.550
7.838 -2.721 1.199
17.016 -0.805 11.195
```

Computed properties:
formation energy (no corrections)	-1322	meV/atom


[6]
VASP calculation (GGA-PBE) on Cs2MgH4 after structural relaxation.

Structure (POSCAR):
```
Cs2MgH4
1.0
6.565 0.000 0.000
0.000 8.582 0.000
0.000 0.000 11.547
H Cs Mg
16 8 4
Cartesian
3.402 5.923 4.020
4.924 8.447 4.759
1.641 2.662 4.972
6.446 5.923 4.020
3.163 6.950 9.794
4.924 5.920 6.575
1.641 6.953 0.802
0.119 6.950 9.794
6.446 1.632 1.753
1.641 4.426 10.532
1.641 0.135 6.789
3.402 1.632 1.753
0.119 2.659 7.527
4.924 1.629 10.745
3.163 2.659 7.527
4.924 4.156 1.015
4.924 0.096 8.022
4.924 4.387 9.299
1.641 1.348 10.520
1.641 4.195 2.248
4.924 2.943 4.746
1.641 5.639 6.801
1.641 8.486 3.526
4.924 7.234 1.027
1.641 1.987 6.710
1.641 6.278 10.611
4.924 2.304 0.937
4.924 6.595 4.837
```


What uncorrected energy values result from the calculations? In sequence: -5.7515 -3.8188 -3.1614 -2.7558 -5.6401 -2.6336 eV/atom.